# RbNiAsAu (GGA-PBE, relaxed)
# Calculated formation energy = -0.3004 eV per atom
# DOS(E_F) = 0.6248 states/eV per atom
data_RbNiAsAu
_chemical_formula_sum 'Rb2 Ni2 As2 Au2'
_cell_length_a 3.997
_cell_length_b 3.997
_cell_length_c 12.576
_cell_angle_alpha 90.00
_cell_angle_beta 90.00
_cell_angle_gamma 90.00
_space_group_name_H-M_alt 'P 1'
_space_group_IT_number 1
loop_
_space_group_symop_operation_xyz
'x,y,z'
loop_
_atom_site_label
_atom_site_type_symbol
_atom_site_fract_x
_atom_site_fract_y
_atom_site_fract_z
Rb1 Rb 0.750 0.750 0.265
Rb2 Rb 0.250 0.250 0.735
Ni1 Ni 0.750 0.250 0.000
Ni2 Ni 0.250 0.750 0.000
As1 As 0.750 0.750 0.904
As2 As 0.250 0.250 0.096
Au1 Au 0.250 0.750 0.500
Au2 Au 0.750 0.250 0.500

***

# CoReTe2I (GGA-PBE, relaxed)
# DOS(E_F) = 1.0976 states/eV per atom
# Offset from the most stable computed form = 0 meV/atom
# Formation energy without anion corrections = 1221 meV per atom
data_CoReTe2I
_chemical_formula_sum 'Co1 Re1 Te2 I1'
_cell_length_a 5.126
_cell_length_b 5.126
_cell_length_c 5.813
_cell_angle_alpha 90.00
_cell_angle_beta 90.00
_cell_angle_gamma 90.00
_space_group_name_H-M_alt 'P 1'
_space_group_IT_number 1
loop_
_space_group_symop_operation_xyz
'x,y,z'
loop_
_atom_site_label
_atom_site_type_symbol
_atom_site_fract_x
_atom_site_fract_y
_atom_site_fract_z
I1 I 0.000 0.000 0.500
Re1 Re 0.000 0.000 0.000
Te1 Te 0.000 0.500 0.000
Te2 Te 0.500 0.000 0.000
Co1 Co 0.500 0.500 0.500

***

# Tl2NiBr (GGA-PBE, relaxed)
# DOS(E_F) = 0.8044 states/eV per atom
# Offset from the most stable computed form = 422 meV/atom
# Formation energy without anion corrections = 387 meV per atom
data_Tl2NiBr
_chemical_formula_sum 'Tl2 Ni1 Br1'
_cell_length_a 5.244
_cell_length_b 5.244
_cell_length_c 5.244
_cell_angle_alpha 60.00
_cell_angle_beta 60.00
_cell_angle_gamma 60.00
_space_group_name_H-M_alt 'P 1'
_space_group_IT_number 1
loop_
_space_group_symop_operation_xyz
'x,y,z'
loop_
_atom_site_label
_atom_site_type_symbol
_atom_site_fract_x
_atom_site_fract_y
_atom_site_fract_z
Br1 Br 0.500 0.500 0.500
Ni1 Ni 0.250 0.250 0.250
Tl1 Tl 0.000 0.000 0.000
Tl2 Tl 0.750 0.750 0.750